GGA-PBEsol Ta2ZnOs, relaxed; calculated density = 16.25 Mg/m³; calculated formation energy = -0.0506 eV/atom
1.0
-1.814 1.831 1.802
-2.561 -1.125 -1.436
-0.388 -4.660 4.345
Os Ta Zn
1 2 1
Direct
0.500 0.500 0.743
0.000 0.000 0.973
0.500 0.500 0.266
0.000 0.000 0.518

=====

GGA-PBEsol Ce3Pb, relaxed; calculated density = 9.92 Mg/m³; calculated formation energy = -0.2381 eV/atom
1.0
4.719 0.000 0.000
0.000 4.719 0.000
0.000 0.000 4.719
Pb Ce
1 3
Direct
0.000 0.000 0.000
0.000 0.500 0.500
0.500 0.000 0.500
0.500 0.500 0.000

=====

GGA-PBEsol Li2YMoSe, relaxed; formation energy (no corrections) = 22.02 kJ/mol of atoms; calculated density = 4.07 Mg/m³
1.0
4.542 0.000 0.000
0.000 4.542 0.000
0.000 0.000 5.491
Y Mo Se Li
1 1 1 2
Direct
0.000 0.000 0.500
0.500 0.500 0.500
0.000 0.000 0.000
0.000 0.500 0.000
0.500 0.000 0.000

=====

GGA-PBEsol ErAgSe2, relaxed; formation energy (no corrections) = -110.10 kJ/mol of atoms; calculated density = 7.87 Mg/m³
1.0
5.596 0.000 0.000
0.000 5.596 0.000
-2.798 -2.798 5.835
Se Ag Er
4 2 2
Direct
0.759 0.759 0.518
0.241 0.241 0.482
0.491 0.991 0.982
0.009 0.509 0.018
0.500 0.500 0.000
0.750 0.250 0.500
0.000 0.000 0.000
0.250 0.750 0.500

=====

GGA-PBEsol MgSbPt, relaxed; formation energy (no corrections) = -38.81 kJ/mol of atoms; calculated density = 9.62 Mg/m³
1.0
-1.249 -2.361 -2.007
3.641 0.323 -2.646
-0.033 -2.912 3.446
Sb Mg Pt
1 1 1
Direct
0.500 0.667 0.333
0.000 0.000 0.000
0.501 0.333 0.667

=====

GGA-PBEsol CdRe2AgN, relaxed; formation energy (no corrections) = 54.75 kJ/mol of atoms; calculated density = 13.34 Mg/m³
1.0
3.935 0.000 0.000
0.000 3.935 0.000
0.000 0.000 4.876
Re N Ag Cd
2 1 1 1
Direct
0.000 0.500 0.000
0.500 0.000 0.000
0.000 0.000 0.000
0.500 0.500 0.500
0.000 0.000 0.500